K3FeTc after structural relaxation, computed with PBE.

Cell: 6.1828 6.1828 6.1828 Å, 90.00 90.00 90.00°
Space group Pm-3m (No. 221)
Inequivalent atoms, fractional coordinates:
K 0.0000 0.0000 0.5000 (multiplicity 3)
Fe 0.0000 0.0000 0.0000 (multiplicity 1)
Tc 0.5000 0.5000 0.5000 (multiplicity 1)

Values from the calculation:
- density (g/cm3) = 1.90
- raw total energy (eV/cell) = -13.4
- ΔE_f (eV/f.u.) = 8.71
- crystal system = cubic